Below is crystalline UPd2Pt at its relaxed geometry, with properties calculated at the PBE-GGA level.

```
4
Lattice="-0.926 3.557 2.162 -6.211 -1.090 -0.866 -1.408 -1.605 2.038" Properties=species:S:1:pos:R:3 pbc="T T T"
U -2.367 1.104 1.374
Pd -6.187 -1.092 -0.852
Pd -3.833 -1.346 0.573
Pt -6.177 -0.243 1.960
```

Computed properties:
* crystal system: orthorhombic
* energy relative to the elements: -141 kJ/mol of formula units
* E_tot: -0.5361 Ry/atom
* ρ: 15.13 g cm⁻³